[1]
DFT (PBE-GGA) results for an optimized crystal structure of AcScAg2.

a = 5.2947 Å, b = 5.2947 Å, c = 5.2947 Å
α = 60.00°, β = 60.00°, γ = 60.00°
Sites, in units of the cell vectors:
Sc 0.5000 0.5000 0.5000
Ac 0.0000 0.0000 0.0000
Ag 0.2500 0.2500 0.2500
Ag 0.7500 0.7500 0.7500

Results
The size of the total moment comes out at 0.00 μB/f.u. The calculation puts the excess energy over the best structure of this formula in the dataset at 75 meV per atom. As for the space group: No. 225. The formation energy is -0.144 eV per atom.

***

[2]
DFT (PBE-GGA) results for an optimized crystal structure of AcSc2Ag.

a = 4.8230 Å, b = 4.8230 Å, c = 6.4992 Å
α = 68.22°, β = 68.22°, γ = 60.00°
Sites, in units of the cell vectors:
Ag 0.5000 0.5000 0.5000
Sc 0.7906 0.7906 0.6282
Sc 0.2094 0.2094 0.3718
Ac 0.0000 0.0000 0.0000

Results
The size of the total moment comes out at 0.00 μB/f.u. The calculation puts the excess energy over the best structure of this formula in the dataset at 193 meV per atom. As for the space group: No. 166. The formation energy is 0.157 eV per atom.

***

[3]
DFT (PBE-GGA) results for an optimized crystal structure of AcScAg.

a = 4.0399 Å, b = 5.0118 Å, c = 5.0118 Å
α = 120.00°, β = 90.00°, γ = 90.00°
Sites, in units of the cell vectors:
Ac 0.6663 0.6667 0.3333
Sc 0.1660 0.0000 0.0000
Ag 0.1676 0.3333 0.6667

Results
The size of the total moment comes out at 0.00 μB/f.u. The calculation puts the excess energy over the best structure of this formula in the dataset at 143 meV per atom. As for the space group: No. 156. The formation energy is -0.018 eV per atom.

***

[4]
DFT (PBE-GGA) results for an optimized crystal structure of AcSc2Ag.

a = 3.5904 Å, b = 3.5904 Å, c = 8.2445 Å
α = 90.00°, β = 90.00°, γ = 90.00°
Sites, in units of the cell vectors:
Ag 0.5000 0.5000 0.0000
Sc 0.0000 0.0000 0.8064
Sc 0.0000 0.0000 0.1936
Ac 0.5000 0.5000 0.5000

Results
The size of the total moment comes out at 0.00 μB/f.u. The calculation puts the excess energy over the best structure of this formula in the dataset at 0 meV per atom. As for the space group: No. 123. The formation energy is -0.036 eV per atom.

***

[5]
DFT (PBE-GGA) results for an optimized crystal structure of AcScAg.

a = 3.7226 Å, b = 3.7226 Å, c = 6.6993 Å
α = 106.13°, β = 106.13°, γ = 90.00°
Sites, in units of the cell vectors:
Ac 0.0054 0.0054 0.0109
Ag 0.6951 0.6951 0.3903
Sc 0.2994 0.2994 0.5988

Results
The size of the total moment comes out at 0.00 μB/f.u. The calculation puts the excess energy over the best structure of this formula in the dataset at 73 meV per atom. As for the space group: No. 107. The formation energy is -0.087 eV per atom.

***

[6]
DFT (PBE-GGA) results for an optimized crystal structure of Ac6ScAg5.

a = 5.6278 Å, b = 7.9227 Å, c = 8.9783 Å
α = 90.00°, β = 108.26°, γ = 90.00°
Sites, in units of the cell vectors:
Ac 0.8280 0.7523 0.6571
Ac 0.5000 0.7380 0.0000
Ac 0.1720 0.7523 0.3429
Ac 0.8280 0.2477 0.6570
Ac 0.1720 0.2477 0.3429
Ac 0.5000 0.2620 0.0000
Ag 0.6685 0.5000 0.3353
Ag 0.3315 0.5000 0.6647
Ag 0.3490 0.0000 0.6996
Ag 0.6510 0.0000 0.3004
Ag 0.0000 0.5000 0.0000
Sc 0.0000 0.0000 0.0000

Results
The size of the total moment comes out at 0.00 μB/f.u. As for the space group: No. 65. The formation energy is -0.166 eV per atom.

***

[7]
DFT (PBE-GGA) results for an optimized crystal structure of AcSc2Ag.

a = 3.7131 Å, b = 5.3087 Å, c = 5.3087 Å
α = 90.00°, β = 90.00°, γ = 90.00°
Sites, in units of the cell vectors:
Ac 0.5000 0.5000 0.5000
Ag 0.5000 0.0000 0.0000
Sc 0.0000 0.0000 0.5000
Sc 0.0000 0.5000 0.0000

Results
The size of the total moment comes out at 1.17 μB/f.u. The calculation puts the excess energy over the best structure of this formula in the dataset at 221 meV per atom. As for the space group: No. 123. The formation energy is 0.185 eV per atom.

***

[8]
DFT (PBE-GGA) results for an optimized crystal structure of AcSc2Ag.

a = 3.6243 Å, b = 3.6243 Å, c = 10.1169 Å
α = 79.68°, β = 79.68°, γ = 60.00°
Sites, in units of the cell vectors:
Ac 0.5014 0.5014 0.4959
Sc 0.2659 0.2659 0.2024
Sc 0.0668 0.0668 0.7995
Ag 0.6660 0.6660 0.0021

Results
The size of the total moment comes out at 0.00 μB/f.u. The calculation puts the excess energy over the best structure of this formula in the dataset at 172 meV per atom. As for the space group: No. 160. The formation energy is 0.136 eV per atom.

***

[9]
DFT (PBE-GGA) results for an optimized crystal structure of AcScAg2.

a = 3.6314 Å, b = 3.6314 Å, c = 7.6194 Å
α = 90.00°, β = 90.00°, γ = 90.00°
Sites, in units of the cell vectors:
Ac 0.5000 0.5000 0.5000
Ag 0.0000 0.0000 0.8010
Ag 0.0000 0.0000 0.1990
Sc 0.5000 0.5000 0.0000

Results
The size of the total moment comes out at 0.00 μB/f.u. The calculation puts the excess energy over the best structure of this formula in the dataset at 0 meV per atom. As for the space group: No. 123. The formation energy is -0.219 eV per atom.

***

[10]
DFT (PBE-GGA) results for an optimized crystal structure of AcScAg2Se4.

a = 7.0388 Å, b = 6.5440 Å, c = 6.5440 Å
α = 68.86°, β = 57.47°, γ = 57.47°
Sites, in units of the cell vectors:
Ag 0.8253 0.6747 0.6747
Ag 0.1747 0.3253 0.3253
Se 0.8850 0.5297 0.1094
Se 0.5241 0.4703 0.8906
Se 0.4759 0.1094 0.5297
Se 0.1150 0.8906 0.4703
Ac 0.0000 0.0000 0.0000
Sc 0.5000 0.5000 0.5000

Results
The size of the total moment comes out at 0.00 μB/f.u. As for the space group: No. 23. The formation energy (no corrections) is -1099 meV per atom.

***

[11]
DFT (PBE-GGA) results for an optimized crystal structure of Ac2ScAg2Se6.

a = 7.7348 Å, b = 7.7348 Å, c = 7.8986 Å
α = 60.68°, β = 60.68°, γ = 60.00°
Sites, in units of the cell vectors:
Ag 0.4187 0.4187 0.7438
Ag 0.5813 0.5813 0.2562
Se 0.2388 0.2388 0.7252
Se 0.7612 0.2029 0.2748
Se 0.7612 0.7612 0.2748
Se 0.7971 0.2388 0.7252
Se 0.2388 0.7971 0.7252
Se 0.2029 0.7612 0.2748
Sc 0.0000 0.0000 0.0000
Ac 0.2095 0.2095 0.3715
Ac 0.7905 0.7905 0.6285

Results
The size of the total moment comes out at 0.00 μB/f.u. As for the space group: No. 166. The formation energy (no corrections) is -993 meV per atom.

***

[12]
DFT (PBE-GGA) results for an optimized crystal structure of AcScSiAg.

a = 5.1898 Å, b = 5.1898 Å, c = 5.1898 Å
α = 60.00°, β = 60.00°, γ = 60.00°
Sites, in units of the cell vectors:
Ac 0.0000 0.0000 0.0000
Sc 0.5000 0.5000 0.5000
Ag 0.2500 0.2500 0.2500
Si 0.7500 0.7500 0.7500

Results
The size of the total moment comes out at 0.02 μB/f.u. As for the space group: No. 216. The formation energy (no corrections) is -259 meV per atom.

***

> What is the size of the total moment in the fourth record?

0.00 μB/f.u.

***

> What is the formula in the fifth record?

AcScAg